Material: BaHoW2O8
Method: DFT, PBE+U
State: relaxed

Computed properties:
crystal system: trigonal
spin magnetization: 1.000 μB/f.u.
space group: P-3m1
electronic total energy: -89.35 eV per cell
V: 235.61 Å³ per cell

abc: 6.0200 6.0200 7.5073
angles: 90.00 90.00 120.00
With the nearest neighbours (Å) after each atom.
Fractional coordinates of all 12 atoms:
Ba (0.0000, 0.0000, 0.0000)  6 O 2.86
Ho (0.0000, 0.0000, 0.5000)  6 O 2.24
W (0.3333, 0.6667, 0.7692)  4 O 1.81-1.86
W (0.6667, 0.3333, 0.2308)  4 O 1.81-1.86
O (0.1638, 0.3276, 0.6936)  1 W 1.86
O (0.1638, 0.8362, 0.6936)  1 W 1.86
O (0.3276, 0.1638, 0.3064)  1 W 1.86
O (0.3333, 0.6667, 0.0104)  1 W 1.81
O (0.6667, 0.3333, 0.9896)  1 W 1.81
O (0.6724, 0.8362, 0.6936)  1 W 1.86
O (0.8362, 0.1638, 0.3064)  1 W 1.86
O (0.8362, 0.6724, 0.3064)  1 W 1.86